(1)
Below is crystalline PuPdPt3 at its relaxed geometry, with properties calculated at the PBE level.

Volume   19.60 Å³ per atom
Total energy   -7.864 eV/atom
ΔE to the lowest computed polymorph   45 meV per atom
Energy of formation   -0.33 eV/atom
Space group   Cmcm
Magnetic moment   4.43 μB per formula unit

a = 7.7527 Å, b = 7.7527 Å, c = 5.1494 Å
α = 90.00°, β = 90.00°, γ = 140.71°
Atoms (fractional coordinates):
Pu1 0.1876 0.8124 0.7500
Pu2 0.8124 0.1876 0.2500
Pd1 0.4505 0.5495 0.2500
Pd2 0.5495 0.4505 0.7500
Pt1 0.0000 0.0000 0.0000
Pt2 0.0000 0.0000 0.5000
Pt3 0.1207 0.3936 0.7500
Pt4 0.3936 0.1207 0.2500
Pt5 0.6064 0.8793 0.7500
Pt6 0.8793 0.6064 0.2500

(2)
Below is crystalline Hf2SiAu2 at its relaxed geometry, with properties calculated at the PBE level.

Volume   19.14 Å³ per atom
Total energy   -6.696 eV/atom
ΔE to the lowest computed polymorph   0 meV per atom
ΔE_f (raw)   -0.32 eV per atom
Space group   P4/mbm
Magnetic moment   0.00 μB per formula unit

a = 6.7753 Å, b = 6.7753 Å, c = 4.1687 Å
α = 90.00°, β = 90.00°, γ = 90.00°
Atoms (fractional coordinates):
Hf1 0.1674 0.3326 0.0000
Hf2 0.3326 0.8326 0.0000
Hf3 0.6674 0.1674 0.0000
Hf4 0.8326 0.6674 0.0000
Si1 0.0000 0.0000 0.5000
Si2 0.5000 0.5000 0.5000
Au1 0.1418 0.6418 0.5000
Au2 0.3582 0.1418 0.5000
Au3 0.6418 0.8582 0.5000
Au4 0.8582 0.3582 0.5000

(3)
Below is crystalline La3SnC at its relaxed geometry, with properties calculated at the PBE level.

Volume   26.19 Å³ per atom
Total energy   -5.692 eV/atom
Energy of formation   -0.09 eV/atom
Space group   P6_3/mmc
Magnetic moment   0.00 μB per formula unit

a = 5.2898 Å, b = 5.2898 Å, c = 10.8074 Å
α = 90.00°, β = 90.00°, γ = 120.00°
Atoms (fractional coordinates):
La1 0.0000 0.0000 0.2500
La2 0.0000 0.0000 0.7500
La3 0.3333 0.6667 0.0514
La4 0.3333 0.6667 0.4486
La5 0.6667 0.3333 0.5514
La6 0.6667 0.3333 0.9486
Sn1 0.3333 0.6667 0.7500
Sn2 0.6667 0.3333 0.2500
C1 0.0000 0.0000 0.0000
C2 0.0000 0.0000 0.5000

(4)
Below is crystalline Be2AlP at its relaxed geometry, with properties calculated at the PBE level.

Volume   12.01 Å³ per atom
Total energy   -3.788 eV/atom
ΔE to the lowest computed polymorph   216 meV per atom
Energy of formation   0.36 eV/atom
Space group   P4/mmm
Magnetic moment   0.00 μB per formula unit

a = 2.6297 Å, b = 2.6297 Å, c = 6.9497 Å
α = 90.00°, β = 90.00°, γ = 90.00°
Atoms (fractional coordinates):
Be1 0.0000 0.0000 0.2420
Be2 0.0000 0.0000 0.7580
Al1 0.5000 0.5000 0.5000
P1 0.5000 0.5000 0.0000

(5)
Below is crystalline SrTePb2O8 at its relaxed geometry, with properties calculated at the PBE level.

Volume   14.77 Å³ per atom
Total energy   -5.522 eV/atom
ΔE_f (raw)   -1.20 eV per atom
Space group   P2/m
Magnetic moment   0.00 μB per formula unit

a = 5.0139 Å, b = 6.9941 Å, c = 5.0566 Å
α = 90.00°, β = 91.67°, γ = 90.00°
Atoms (fractional coordinates):
Sr1 0.0000 0.0000 0.0000
Te1 0.0000 0.5000 0.0000
Pb1 0.5000 0.2531 0.5000
Pb2 0.5000 0.7469 0.5000
O1 0.2028 0.2961 0.1695
O2 0.2028 0.7039 0.1695
O3 0.2651 0.5000 0.6954
O4 0.2920 0.0000 0.6451
O5 0.7080 0.0000 0.3549
O6 0.7349 0.5000 0.3046
O7 0.7972 0.2961 0.8305
O8 0.7972 0.7039 0.8305

(6)
Below is crystalline Cd2TeP at its relaxed geometry, with properties calculated at the PBE level.

Volume   23.81 Å³ per atom
Total energy   -2.308 eV/atom
ΔE to the lowest computed polymorph   354 meV per atom
ΔE_f (raw)   0.29 eV per atom
Space group   Cmmm
Magnetic moment   0.00 μB per formula unit

a = 5.7680 Å, b = 8.1083 Å, c = 4.0735 Å
α = 90.00°, β = 90.00°, γ = 90.00°
Atoms (fractional coordinates):
Cd1 0.2500 0.2500 0.0000
Cd2 0.2500 0.7500 0.0000
Cd3 0.7500 0.2500 0.0000
Cd4 0.7500 0.7500 0.0000
Te1 0.0000 0.0000 0.5000
Te2 0.5000 0.5000 0.5000
P1 0.0000 0.5000 0.5000
P2 0.5000 0.0000 0.5000

Q: What is the total energy in the fourth record?
A: -3.788 eV/atom

Q: Among the records above, which one has the lowest volume?
A: Be2AlP